A plane-wave DFT calculation with GGA+U was carried out for a geometry-optimized FeGe2O5 structure.

Unit cell a=3.0105 b=13.9532 c=5.0844 alpha=90.00 beta=90.00 gamma=90.00
Element x y z (fractional)
Fe: 0.2500 0.2500 0.0267
Fe: 0.7500 0.7500 0.9733
Ge: 0.2500 0.6326 0.5055
Ge: 0.2500 0.8674 0.5055
Ge: 0.7500 0.1326 0.4945
Ge: 0.7500 0.3674 0.4945
O: 0.2500 0.0795 0.6188
O: 0.2500 0.4205 0.6188
O: 0.2500 0.6534 0.8409
O: 0.2500 0.7500 0.3281
O: 0.2500 0.8466 0.8409
O: 0.7500 0.1534 0.1591
O: 0.7500 0.2500 0.6719
O: 0.7500 0.3466 0.1591
O: 0.7500 0.5795 0.3812
O: 0.7500 0.9205 0.3812

Its electronic total energy is -103.20 eV for the cell shown. The volume comes out at 13.3 Å³ per atom. As for the space group: Pmmn, No. 59. Its density is 4.37 g cm⁻³. For the total magnetization, the calculation gives 4.00 μB per formula unit.